An optimized crystal structure of Li7InPb4, computed with PBE-GGA.

Calculated values
Space group = C2/m, No. 12

Cell: 7.2203 7.2203 10.2205 Å, 124.30 124.30 41.42°
Closest atoms and distances in Å follow each position.
Fractional coordinates of all 12 atoms:
Li1 0.0000 0.0000 0.0000  2 In 2.55, 2 Pb 2.84
Li2 0.1430 0.1430 0.5809  5 Pb 2.82-3.14, 1 Li 3.16
Li3 0.2844 0.2844 0.1385  4 Pb 2.88-2.99, 2 Li 2.97-3.20
Li4 0.4407 0.4407 0.6631  5 Pb 2.88-3.16, 1 Li 2.97, 1 In 3.03
Li5 0.5593 0.5593 0.3369  5 Pb 2.88-3.16, 1 Li 2.97, 1 In 3.03
Li6 0.7156 0.7156 0.8615  4 Pb 2.88-2.99, 2 Li 2.97-3.20
Li7 0.8570 0.8570 0.4191  5 Pb 2.82-3.14, 1 Li 3.16
In1 0.5000 0.5000 0.0000  2 Li 2.55
Pb1 0.0773 0.0773 0.7961  8 Li 2.82-3.14, 1 Pb 3.11
Pb2 0.2014 0.2014 0.3474  8 Li 2.88-3.16, 1 Pb 3.11
Pb3 0.7986 0.7986 0.6526  8 Li 2.88-3.16, 1 Pb 3.11
Pb4 0.9227 0.9227 0.2039  8 Li 2.82-3.14, 1 Pb 3.11

=====

An optimized crystal structure of Li3In4Pb, computed with PBE-GGA.

Calculated values
ΔE to the lowest computed polymorph = 0 meV per atom
Space group = C2/m, No. 12

Cell: 9.9434 9.9434 5.1312 Å, 93.01 93.01 21.10°
Closest atoms and distances in Å follow each position.
Fractional coordinates of all 8 atoms:
Li1 0.0000 0.0000 0.0000  4 In 2.95, 4 Pb 3.15
Li2 0.1226 0.1226 0.5490  7 In 2.96-3.21, 2 Pb 3.01
Li3 0.8774 0.8774 0.4510  7 In 2.96-3.21, 2 Pb 3.01
In1 0.2491 0.2491 0.2573  3 Li 2.96-3.21, 7 In 3.08-3.27
In2 0.3811 0.3811 0.9572  6 Li 2.95-3.17, 3 In 3.08-3.27
In3 0.6189 0.6189 0.0428  6 Li 2.95-3.17, 3 In 3.08-3.27
In4 0.7509 0.7509 0.7427  3 Li 2.96-3.21, 7 In 3.08-3.27
Pb1 0.5000 0.5000 0.5000  8 Li 3.01-3.15

=====

An optimized crystal structure of Li4In3Pb3, computed with PBE-GGA.

Calculated values
Space group = I-43d, No. 220

Cell: 8.7056 8.7056 8.7056 Å, 109.47 109.47 109.47°
Closest atoms and distances in Å follow each position.
Fractional coordinates of all 20 atoms:
Li1 0.0000 0.2554 0.5000  3 In 3.06, 3 Pb 3.10
Li2 0.0000 0.7554 0.5000  3 In 3.06, 3 Pb 3.10
Li3 0.2446 0.2446 0.2446  3 In 3.06, 3 Pb 3.10
Li4 0.2554 0.5000 0.0000  3 In 3.06, 3 Pb 3.10
Li5 0.5000 0.0000 0.2554  3 In 3.06, 3 Pb 3.10
Li6 0.5000 0.0000 0.7554  3 In 3.06, 3 Pb 3.10
Li7 0.7446 0.7446 0.7446  3 In 3.06, 3 Pb 3.10
Li8 0.7554 0.5000 0.0000  3 In 3.06, 3 Pb 3.10
In1 0.1250 0.8750 0.2500  4 Li 3.06, 4 Pb 3.08
In2 0.2500 0.1250 0.8750  4 Li 3.06, 4 Pb 3.08
In3 0.3750 0.6250 0.7500  4 Li 3.06, 4 Pb 3.08
In4 0.6250 0.7500 0.3750  4 Li 3.06, 4 Pb 3.08
In5 0.7500 0.3750 0.6250  4 Li 3.06, 4 Pb 3.08
In6 0.8750 0.2500 0.1250  4 Li 3.06, 4 Pb 3.08
Pb1 0.1250 0.7500 0.8750  4 In 3.08, 4 Li 3.10
Pb2 0.2500 0.6250 0.3750  4 In 3.08, 4 Li 3.10
Pb3 0.3750 0.2500 0.6250  4 In 3.08, 4 Li 3.10
Pb4 0.6250 0.3750 0.2500  4 In 3.08, 4 Li 3.10
Pb5 0.7500 0.8750 0.1250  4 In 3.08, 4 Li 3.10
Pb6 0.8750 0.1250 0.7500  4 In 3.08, 4 Li 3.10

=====

An optimized crystal structure of LiInPb2, computed with PBE-GGA.

Calculated values
Space group = Imm2, No. 44

Cell: 6.2831 6.2831 6.2831 Å, 146.12 129.12 62.54°
Closest atoms and distances in Å follow each position.
Fractional coordinates of all 4 atoms:
Li1 0.0000 0.0000 0.0000  2 In 3.01, 6 Pb 3.12-3.26
In1 0.2220 0.7220 0.5000  2 Li 3.01, 4 Pb 3.29
Pb1 0.4893 0.4893 0.0000  4 Li 3.26, 2 In 3.40, 4 Pb 3.48-3.62
Pb2 0.7650 0.2650 0.5000  2 Li 3.12, 4 In 3.29, 2 Pb 3.48

=====

An optimized crystal structure of LiInPb2, computed with PBE-GGA.

Calculated values
Space group = Pmm2, No. 25

Cell: 3.4578 4.3326 7.1355 Å, 90.00 90.00 90.00°
Closest atoms and distances in Å follow each position.
Fractional coordinates of all 4 atoms:
Li1 0.0000 0.0000 0.0000  4 In 3.17, 5 Pb 3.23-3.40, 2 Li 3.46
In1 0.5000 0.5000 0.7851  4 Li 3.17, 5 Pb 3.20-3.34, 2 In 3.46
Pb1 0.0000 0.0000 0.5241  4 In 3.34, 2 Li 3.40-3.74, 6 Pb 3.46
Pb2 0.5000 0.5000 0.2335  1 In 3.20, 4 Li 3.23, 6 Pb 3.46

=====

An optimized crystal structure of LiIn4Pb5, computed with PBE-GGA.

Calculated values
ΔE to the lowest computed polymorph = 0 meV per atom
Space group = P4/mmm, No. 123

Cell: 3.8010 3.8010 19.5747 Å, 90.00 90.00 90.00°
Closest atoms and distances in Å follow each position.
Fractional coordinates of all 10 atoms:
Li1 0.0000 0.0000 0.0000  8 Pb 3.17
In1 0.0000 0.0000 0.1854  8 Pb 3.32-3.41, 1 Li 3.63
In2 0.0000 0.0000 0.3967  8 Pb 3.36-3.37
In3 0.0000 0.0000 0.6033  8 Pb 3.36-3.37
In4 0.0000 0.0000 0.8146  8 Pb 3.32-3.41, 1 Li 3.63
Pb1 0.5000 0.5000 0.0859  4 Li 3.17, 4 In 3.32, 1 Pb 3.36
Pb2 0.5000 0.5000 0.2925  8 In 3.37-3.41
Pb3 0.5000 0.5000 0.5000  8 In 3.36
Pb4 0.5000 0.5000 0.7075  8 In 3.37-3.41
Pb5 0.5000 0.5000 0.9141  4 Li 3.17, 4 In 3.32, 1 Pb 3.36

=====

An optimized crystal structure of Li6InPb12, computed with PBE-GGA.

Calculated values
Space group = R-3, No. 148

Cell: 8.3393 8.3393 8.3393 Å, 100.73 100.73 100.73°
Closest atoms and distances in Å follow each position.
Fractional coordinates of all 19 atoms:
Li1 0.0387 0.2358 0.3268  6 Pb 2.97-3.25, 2 Li 3.28
Li2 0.2358 0.3268 0.0387  6 Pb 2.97-3.25, 2 Li 3.28
Li3 0.3268 0.0387 0.2358  6 Pb 2.97-3.25, 2 Li 3.28
Li4 0.6732 0.9613 0.7642  6 Pb 2.97-3.25, 2 Li 3.28
Li5 0.7642 0.6732 0.9613  6 Pb 2.97-3.25, 2 Li 3.28
Li6 0.9613 0.7642 0.6732  6 Pb 2.97-3.25, 2 Li 3.28
In1 0.5000 0.5000 0.5000  6 Pb 3.23
Pb1 0.0183 0.1278 0.6783  4 Li 2.97-3.25, 5 Pb 3.23-3.29
Pb2 0.1278 0.6783 0.0183  4 Li 2.97-3.25, 5 Pb 3.23-3.29
Pb3 0.1688 0.5040 0.6468  2 Li 3.02, 1 In 3.23, 3 Pb 3.23-3.35
Pb4 0.3217 0.9817 0.8722  4 Li 2.97-3.25, 5 Pb 3.23-3.29
Pb5 0.3532 0.8312 0.4960  2 Li 3.02, 1 In 3.23, 3 Pb 3.23-3.35
Pb6 0.4960 0.3532 0.8312  2 Li 3.02, 1 In 3.23, 3 Pb 3.23-3.35
Pb7 0.5040 0.6468 0.1688  2 Li 3.02, 1 In 3.23, 3 Pb 3.23-3.35
Pb8 0.6468 0.1688 0.5040  2 Li 3.02, 1 In 3.23, 3 Pb 3.23-3.35
Pb9 0.6783 0.0183 0.1278  4 Li 2.97-3.25, 5 Pb 3.23-3.29
Pb10 0.8312 0.4960 0.3532  2 Li 3.02, 1 In 3.23, 3 Pb 3.23-3.35
Pb11 0.8722 0.3217 0.9817  4 Li 2.97-3.25, 5 Pb 3.23-3.29
Pb12 0.9817 0.8722 0.3217  4 Li 2.97-3.25, 5 Pb 3.23-3.29

=====

An optimized crystal structure of Li7In4Pb, computed with PBE-GGA.

Calculated values
Space group = C2/m, No. 12

Cell: 7.2558 7.2558 8.2952 Å, 116.84 116.84 41.24°
Closest atoms and distances in Å follow each position.
Fractional coordinates of all 12 atoms:
Li1 0.0000 0.0000 0.0000  2 Pb 2.56, 2 In 2.78
Li2 0.2736 0.2736 0.7470  4 In 2.69-2.90, 1 Pb 2.76, 1 Li 2.94
Li3 0.2937 0.2937 0.1161  6 Li 2.94-3.18, 4 In 3.09-3.28
Li4 0.4157 0.4157 0.5536  2 Li 2.83-3.05, 5 In 2.86-3.14
Li5 0.5843 0.5843 0.4464  2 Li 2.83-3.05, 5 In 2.86-3.14
Li6 0.7063 0.7063 0.8839  6 Li 2.94-3.18, 4 In 3.09-3.28
Li7 0.7264 0.7264 0.2530  4 In 2.69-2.90, 1 Pb 2.76, 1 Li 2.94
In1 0.0667 0.0667 0.7133  2 Li 2.69-2.93
In2 0.1756 0.1756 0.3601  7 Li 2.78-3.07, 1 In 3.04
In3 0.8244 0.8244 0.6399  7 Li 2.78-3.07, 1 In 3.04
In4 0.9333 0.9333 0.2867  2 Li 2.69-2.93
Pb1 0.5000 0.5000 0.0000  4 Li 2.56-2.76

=====

An optimized crystal structure of LiInPb2, computed with PBE-GGA.

Calculated values
Space group = I-42d, No. 122

Cell: 6.7135 6.7135 6.7135 Å, 103.34 103.34 122.59°
Closest atoms and distances in Å follow each position.
Fractional coordinates of all 8 atoms:
Li1 0.0000 0.0000 0.0000  4 Pb 2.98, 2 In 3.22
Li2 0.7500 0.2500 0.5000  4 Pb 2.98, 2 In 3.22
In1 0.2500 0.7500 0.5000  4 Pb 3.13, 2 Li 3.22
In2 0.5000 0.5000 0.0000  4 Pb 3.13, 2 Li 3.22
Pb1 0.1111 0.6250 0.9861  2 Li 2.98, 2 In 3.13, 2 Pb 3.23
Pb2 0.3750 0.3611 0.4861  2 Li 2.98, 2 In 3.13, 2 Pb 3.23
Pb3 0.6389 0.1250 0.0139  2 Li 2.98, 2 In 3.13, 2 Pb 3.23
Pb4 0.8750 0.8889 0.5139  2 Li 2.98, 2 In 3.13, 2 Pb 3.23

=====

An optimized crystal structure of LiIn2Pb2, computed with PBE-GGA.

Calculated values
ΔE to the lowest computed polymorph = 164 meV per atom
Space group = I4/mmm, No. 139

Cell: 7.5716 7.5716 7.5716 Å, 142.16 142.16 54.58°
Closest atoms and distances in Å follow each position.
Fractional coordinates of all 5 atoms:
Li1 0.0000 0.0000 0.0000  8 In 3.75, 8 Pb 4.16
In1 0.3950 0.3950 0.0000  1 In 2.83, 4 Pb 3.14
In2 0.6050 0.6050 0.0000  1 In 2.83, 4 Pb 3.14
Pb1 0.2500 0.7500 0.5000  4 In 3.14, 4 Pb 3.47
Pb2 0.7500 0.2500 0.5000  4 In 3.14, 4 Pb 3.47

=====

An optimized crystal structure of Li2InPb2, computed with PBE-GGA.

Calculated values
ΔE to the lowest computed polymorph = 0 meV per atom
Space group = P4/mbm, No. 127

Cell: 7.7268 7.7268 3.9600 Å, 90.00 90.00 90.00°
Closest atoms and distances in Å follow each position.
Fractional coordinates of all 10 atoms:
Li1 0.1373 0.3627 0.0000  6 Pb 2.95-3.06, 2 In 3.00, 1 Li 3.00
Li2 0.3627 0.8627 0.0000  6 Pb 2.95-3.06, 2 In 3.00, 1 Li 3.00
Li3 0.6373 0.1373 0.0000  6 Pb 2.95-3.06, 2 In 3.00, 1 Li 3.00
Li4 0.8627 0.6373 0.0000  6 Pb 2.95-3.06, 2 In 3.00, 1 Li 3.00
In1 0.0000 0.0000 0.0000  4 Li 3.00
In2 0.5000 0.5000 0.0000  4 Li 3.00
Pb1 0.1630 0.6630 0.5000  6 Li 2.95-3.06
Pb2 0.3370 0.1630 0.5000  6 Li 2.95-3.06
Pb3 0.6630 0.8370 0.5000  6 Li 2.95-3.06
Pb4 0.8370 0.3370 0.5000  6 Li 2.95-3.06

=====

Number 1: VASP energy -2.751 eV per atom, M_tot 0.00 Bohr magnetons per cell, energy relative to the elements -171 meV per atom. Number 2: VASP energy -2.731 eV per atom, M_tot 0.00 Bohr magnetons per cell, energy relative to the elements -181 meV per atom. Number 3: VASP energy -2.819 eV per atom, M_tot 0.00 Bohr magnetons per cell, energy relative to the elements -119 meV per atom. Number 4: VASP energy -3.110 eV per atom, M_tot 0.00 Bohr magnetons per cell, energy relative to the elements -93 meV per atom. Number 5: VASP energy -3.113 eV per atom, M_tot 0.00 Bohr magnetons per cell, energy relative to the elements -96 meV per atom. Number 6: VASP energy -3.158 eV per atom, M_tot 0.00 Bohr magnetons per cell, energy relative to the elements -17 meV per atom. Number 7: VASP energy -3.109 eV per atom, M_tot 0.00 Bohr magnetons per cell, energy relative to the elements -19 meV per atom. Number 8: VASP energy -2.506 eV per atom, M_tot 0.00 Bohr magnetons per cell, energy relative to the elements -168 meV per atom. Number 9: VASP energy -2.959 eV per atom, M_tot 0.00 Bohr magnetons per cell, energy relative to the elements 58 meV per atom. Number 10: VASP energy -2.864 eV per atom, M_tot 0.00 Bohr magnetons per cell, energy relative to the elements 98 meV per atom. Number 11: VASP energy -2.958 eV per atom, M_tot 0.00 Bohr magnetons per cell, energy relative to the elements -161 meV per atom.